1.
# Ta2MnPb (SCAN, single point on PBEsol structure)
data_Ta2MnPb
_chemical_formula_sum 'Ta2 Mn1 Pb1'
_space_group_name_H-M_alt 'P 4 m m'
_space_group_IT_number 99
_space_group_name_Hall 'P 4 -2'
_cell_length_a 3.108
_cell_length_b 3.108
_cell_length_c 7.267
_cell_angle_alpha 90.00
_cell_angle_beta 90.00
_cell_angle_gamma 90.00
loop_
_atom_site_label
_atom_site_type_symbol
_atom_site_fract_x
_atom_site_fract_y
_atom_site_fract_z
_atom_site_occupancy
Ta1 Ta 0.000 0.000 0.000 1
Ta2 Ta 0.500 0.500 0.260 1
Mn1 Mn 0.000 0.000 0.433 1
Pb1 Pb 0.500 0.500 0.691 1
# Total DFT energy (no corrections)   -56.43 eV/atom

---

2.
# CaMo2Br (SCAN, single point on PBEsol structure)
data_CaMo2Br
_chemical_formula_sum 'Ca1 Mo2 Br1'
_space_group_name_H-M_alt 'P 4/m m m'
_space_group_IT_number 123
_space_group_name_Hall '-P 4 2'
_cell_length_a 3.631
_cell_length_b 3.631
_cell_length_c 6.032
_cell_angle_alpha 90.00
_cell_angle_beta 90.00
_cell_angle_gamma 90.00
loop_
_atom_site_label
_atom_site_type_symbol
_atom_site_fract_x
_atom_site_fract_y
_atom_site_fract_z
_atom_site_occupancy
Ca1 Ca 0.000 0.000 0.000 1
Mo1 Mo 0.500 0.500 0.313 1
Br1 Br 0.000 0.000 0.500 1
# Formation energy without anion corrections   1.112 eV per atom
# Total DFT energy (no corrections)   -23.61 eV/atom
# Energy above the most stable polymorph in this dataset   579 meV per atom

---

3.
# CaZnPb (SCAN, single point on PBEsol structure)
data_CaZnPb
_chemical_formula_sum 'Ca2 Zn2 Pb2'
_space_group_name_H-M_alt 'P 63 m c'
_space_group_IT_number 186
_space_group_name_Hall 'P 6c -2c'
_cell_length_a 4.6986
_cell_length_b 4.6986
_cell_length_c 7.5190
_cell_angle_alpha 90.00
_cell_angle_beta 90.00
_cell_angle_gamma 120.00
loop_
_atom_site_label
_atom_site_type_symbol
_atom_site_fract_x
_atom_site_fract_y
_atom_site_fract_z
_atom_site_occupancy
Ca1 Ca 0.0000 0.0000 0.0000 1
Zn1 Zn 0.3333 0.6667 0.3132 1
Pb1 Pb 0.3333 0.6667 0.7192 1
# Total DFT energy (no corrections)   -33.55 eV/atom

---

4.
# Y2ScSn2 (SCAN, single point on PBEsol structure)
data_Y2ScSn2
_chemical_formula_sum 'Y4 Sc2 Sn4'
_space_group_name_H-M_alt 'P 4/m b m'
_space_group_IT_number 127
_space_group_name_Hall '-P 4 2ab'
_cell_length_a 7.658
_cell_length_b 7.658
_cell_length_c 4.406
_cell_angle_alpha 90.00
_cell_angle_beta 90.00
_cell_angle_gamma 90.00
loop_
_atom_site_label
_atom_site_type_symbol
_atom_site_fract_x
_atom_site_fract_y
_atom_site_fract_z
_atom_site_occupancy
Y1 Y 0.170 0.330 0.000 1
Sc1 Sc 0.000 0.000 0.500 1
Sn1 Sn 0.135 0.635 0.500 1
# Total DFT energy (no corrections)   -29.19 eV/atom

---

5.
# Li2FeW (SCAN, single point on PBEsol structure)
data_Li2FeW
_chemical_formula_sum 'Li2 Fe1 W1'
_space_group_name_H-M_alt 'P 4/m m m'
_space_group_IT_number 123
_space_group_name_Hall '-P 4 2'
_cell_length_a 2.497
_cell_length_b 2.497
_cell_length_c 8.904
_cell_angle_alpha 90.00
_cell_angle_beta 90.00
_cell_angle_gamma 90.00
loop_
_atom_site_label
_atom_site_type_symbol
_atom_site_fract_x
_atom_site_fract_y
_atom_site_fract_z
_atom_site_occupancy
Li1 Li 0.000 0.000 0.238 1
Fe1 Fe 0.500 0.500 0.000 1
W1 W 0.500 0.500 0.500 1
# Total DFT energy (no corrections)   -22.63 eV/atom
# Energy above the most stable polymorph in this dataset   34 meV per atom

---

6.
# FeMoW2 (SCAN, single point on PBEsol structure)
data_FeMoW2
_chemical_formula_sum 'Fe2 Mo2 W4'
_space_group_name_H-M_alt 'I m m 2'
_space_group_IT_number 44
_space_group_name_Hall 'I 2 -2'
_cell_length_a 3.130
_cell_length_b 4.339
_cell_length_c 8.541
_cell_angle_alpha 90.00
_cell_angle_beta 90.00
_cell_angle_gamma 90.00
loop_
_atom_site_label
_atom_site_type_symbol
_atom_site_fract_x
_atom_site_fract_y
_atom_site_fract_z
_atom_site_occupancy
Fe1 Fe 0.000 0.000 0.000 1
Mo1 Mo 0.000 0.500 0.751 1
W1 W 0.000 0.000 0.500 1
W2 W 0.000 0.500 0.251 1
# Total DFT energy (no corrections)   -47.96 eV/atom
# Energy above the most stable polymorph in this dataset   61 meV per atom

---

7.
# Ta2MnB2 (SCAN, single point on PBEsol structure)
data_Ta2MnB2
_chemical_formula_sum 'Ta4 Mn2 B4'
_space_group_name_H-M_alt 'P 4/m b m'
_space_group_IT_number 127
_space_group_name_Hall '-P 4 2ab'
_cell_length_a 5.783
_cell_length_b 5.783
_cell_length_c 3.282
_cell_angle_alpha 90.00
_cell_angle_beta 90.00
_cell_angle_gamma 90.00
loop_
_atom_site_label
_atom_site_type_symbol
_atom_site_fract_x
_atom_site_fract_y
_atom_site_fract_z
_atom_site_occupancy
Ta1 Ta 0.180 0.320 0.000 1
Mn1 Mn 0.000 0.000 0.500 1
B1 B 0.114 0.614 0.500 1
# Total DFT energy (no corrections)   -33.95 eV/atom

---

8.
# Na2ReRhF (SCAN, single point on PBEsol structure)
data_Na2ReRhF
_chemical_formula_sum 'Na2 Re1 Rh1 F1'
_space_group_name_H-M_alt 'P 4/m m m'
_space_group_IT_number 123
_space_group_name_Hall '-P 4 2'
_cell_length_a 5.491
_cell_length_b 5.491
_cell_length_c 4.549
_cell_angle_alpha 90.00
_cell_angle_beta 90.00
_cell_angle_gamma 90.00
loop_
_atom_site_label
_atom_site_type_symbol
_atom_site_fract_x
_atom_site_fract_y
_atom_site_fract_z
_atom_site_occupancy
Na1 Na 0.000 0.500 0.000 1
Re1 Re 0.000 0.000 0.500 1
Rh1 Rh 0.000 0.000 0.000 1
F1 F 0.500 0.500 0.500 1
# Formation energy without anion corrections   0.609 eV per atom
# Total DFT energy (no corrections)   -22.76 eV/atom